An optimized crystal structure of ErInCu, computed with PBE-GGA.

Properties
VASP energy: -36.8 eV/cell

Lattice parameters (Å, degrees): 7.3786 7.3786 3.9392 90.00 90.00 120.00
Space group P-62m (No. 189)
One atom of each set of equivalent atoms:
Er 0.0000 0.5883 0.0000 x3
In 0.0000 0.2549 0.5000 x3
Cu 0.0000 0.0000 0.0000 x1
Cu 0.3333 0.6667 0.5000 x2

***

An optimized crystal structure of PrSm2PdPt2Pb3, computed with PBE-GGA.

Properties
VASP energy: -99.9 eV/cell

Lattice parameters (Å, degrees): 4.090 13.631 7.849 90.00 90.00 90.00
Space group Amm2 (No. 38)
One atom of each set of equivalent atoms:
Pr 0.000 0.000 0.000 x2
Sm 0.000 0.205 0.385 x4
Pd 0.000 0.000 0.588 x2
Pt 0.500 0.169 0.091 x4
Pb 0.500 0.000 0.333 x2
Pb 0.500 0.129 0.718 x4

***

An optimized crystal structure of MgCuAuS3, computed with PBE-GGA.

Properties
VASP energy: -89.0 eV/cell

Lattice parameters (Å, degrees): 3.664 12.975 8.692 90.00 90.00 90.00
Space group Cmcm (No. 63)
One atom of each set of equivalent atoms:
Mg 0.000 0.241 0.250 x4
Cu 0.000 0.041 0.750 x4
Au 0.000 0.500 0.000 x4
S 0.000 0.168 0.564 x8
S 0.000 0.417 0.750 x4

***

An optimized crystal structure of ReNiSnPd, computed with PBE-GGA.

Properties
VASP energy: -103.4 eV/cell

Lattice parameters (Å, degrees): 6.288 6.288 6.288 90.00 90.00 90.00
Space group F-43m (No. 216)
One atom of each set of equivalent atoms:
Re 0.000 0.000 0.000 x4
Ni 0.250 0.250 0.750 x4
Sn 0.000 0.000 0.500 x4
Pd 0.250 0.250 0.250 x4

***

An optimized crystal structure of Gd2DyTmAl2, computed with PBE-GGA.

Properties
VASP energy: -27.4 eV/cell

Lattice parameters (Å, degrees): 5.2479 5.2479 6.6622 90.00 90.00 120.00
Space group P-6m2 (No. 187)
One atom of each set of equivalent atoms:
Gd 0.0000 0.0000 0.2482 x2
Dy 0.3333 0.6667 0.5000 x1
Tm 0.6667 0.3333 0.0000 x1
Al 0.3333 0.6667 0.0000 x1
Al 0.6667 0.3333 0.5000 x1

***

An optimized crystal structure of Sm2Ni12As7, computed with PBE-GGA.

Properties
VASP energy: -120.4 eV/cell

Lattice parameters (Å, degrees): 9.3801 9.3801 3.8692 90.00 90.00 120.00
Space group P-6 (No. 174)
One atom of each set of equivalent atoms:
Sm 0.0000 0.0000 0.0000 x1
Sm 0.3333 0.6667 0.5000 x1
Ni 0.0431 0.7578 0.5000 x3
Ni 0.1036 0.3899 0.0000 x3
Ni 0.3878 0.2039 0.0000 x3
Ni 0.5539 0.1245 0.5000 x3
As 0.0684 0.6212 0.0000 x3
As 0.2629 0.0352 0.5000 x3
As 0.6667 0.3333 0.0000 x1

***

An optimized crystal structure of Zr3AlZn2CuIr2, computed with PBE-GGA.

Properties
VASP energy: -117.9 eV/cell

Lattice parameters (Å, degrees): 3.441 12.483 7.171 90.00 90.00 90.00
Space group Amm2 (No. 38)
One atom of each set of equivalent atoms:
Zr 0.000 0.000 0.000 x2
Zr 0.000 0.206 0.604 x4
Al 0.500 0.000 0.654 x2
Zn 0.500 0.128 0.276 x4
Cu 0.000 0.000 0.405 x2
Ir 0.500 0.164 0.898 x4

***

An optimized crystal structure of KNb3Te5, computed with PBE-GGA.

Properties
VASP energy: -51.0 eV/cell

Lattice parameters (Å, degrees): 6.0323 6.0323 8.6061 90.00 90.00 120.00
Space group P6/mmm (No. 191)
One atom of each set of equivalent atoms:
K 0.0000 0.0000 0.0000 x1
Nb 0.0000 0.5000 0.5000 x3
Te 0.0000 0.0000 0.5000 x1
Te 0.3333 0.6667 0.2377 x4

***

An optimized crystal structure of NdZnHg, computed with PBE-GGA.

Properties
VASP energy: -28.5 eV/cell
Formation energy from the elements: -0.267 eV/atom

Lattice parameters (Å, degrees): 6.761 6.761 6.761 90.00 90.00 90.00
Space group F-43m (No. 216)
One atom of each set of equivalent atoms:
Nd 0.000 0.000 0.000 x4
Zn 0.250 0.250 0.750 x4
Hg 0.000 0.000 0.500 x4

***

An optimized crystal structure of KNaCo, computed with PBE-GGA.

Properties
VASP energy: -25.8 eV/cell

Lattice parameters (Å, degrees): 7.438 7.438 7.438 90.00 90.00 90.00
Space group F-43m (No. 216)
One atom of each set of equivalent atoms:
K 0.000 0.000 0.000 x4
Na 0.000 0.000 0.500 x4
Co 0.250 0.250 0.250 x4

***

An optimized crystal structure of Er2Al8Fe, computed with PBE-GGA.

Properties
VASP energy: -51.8 eV/cell

Lattice parameters (Å, degrees): 4.206 4.206 11.123 90.00 90.00 90.00
Space group P4/mmm (No. 123)
One atom of each set of equivalent atoms:
Er 0.000 0.000 0.193 x2
Al 0.000 0.500 0.000 x2
Al 0.000 0.500 0.383 x4
Al 0.500 0.500 0.194 x2
Fe 0.000 0.000 0.500 x1

***

An optimized crystal structure of HoErBr2N, computed with PBE-GGA.

Properties
VASP energy: -29.5 eV/cell

Lattice parameters (Å, degrees): 3.6246 3.6246 10.3505 90.00 90.00 120.00
Space group P3m1 (No. 156)
One atom of each set of equivalent atoms:
Ho 0.0000 0.0000 0.0000 x1
Er 0.3333 0.6667 0.2456 x1
Br 0.0000 0.0000 0.4322 x1
Br 0.3333 0.6667 0.8126 x1
N 0.6667 0.3333 0.1240 x1

***

An optimized crystal structure of Li2MgCdGa2Pd2, computed with PBE-GGA.

Properties
VASP energy: -26.7 eV/cell

Lattice parameters (Å, degrees): 4.439 4.439 6.322 90.00 90.00 90.00
Space group P-4m2 (No. 115)
One atom of each set of equivalent atoms:
Li 0.000 0.500 0.246 x2
Mg 0.000 0.000 0.500 x1
Cd 0.500 0.500 0.000 x1
Ga 0.000 0.000 0.000 x1
Ga 0.500 0.500 0.500 x1
Pd 0.000 0.500 0.738 x2

***

An optimized crystal structure of Cu2Ag3, computed with PBE-GGA.

Properties
VASP energy: -62.1 eV/cell
Formation energy from the elements: 0.077 eV/atom

Lattice parameters (Å, degrees): 9.491 2.884 11.541 90.00 98.14 90.00
Space group C2/m (No. 12)
One atom of each set of equivalent atoms:
Cu 0.000 0.000 0.000 x2
Cu 0.000 0.500 0.500 x2
Cu 0.182 0.000 0.420 x4
Ag 0.091 0.500 0.210 x4
Ag 0.120 0.000 0.678 x4
Ag 0.197 0.500 0.898 x4

***

An optimized crystal structure of Gd2Y2In, computed with PBE-GGA.

Properties
VASP energy: -49.7 eV/cell

Lattice parameters (Å, degrees): 8.283 8.283 4.481 90.00 90.00 90.00
Space group P4/mbm (No. 127)
One atom of each set of equivalent atoms:
Gd 0.147 0.353 0.000 x4
Y 0.155 0.655 0.500 x4
In 0.000 0.000 0.000 x2

***

An optimized crystal structure of SmHfFe, computed with PBE-GGA.

Properties
VASP energy: -88.8 eV/cell
Formation energy from the elements: 0.257 eV/atom

Lattice parameters (Å, degrees): 6.426 6.426 6.426 90.00 90.00 90.00
Space group F-43m (No. 216)
One atom of each set of equivalent atoms:
Sm 0.000 0.000 0.000 x4
Hf 0.000 0.000 0.500 x4
Fe 0.250 0.250 0.750 x4

***

An optimized crystal structure of AuI2, computed with PBE-GGA.

Properties
VASP energy: -25.9 eV/cell

Lattice parameters (Å, degrees): 9.374 9.374 9.374 90.00 90.00 90.00
Space group Fd-3m (No. 227, origin choice 2)
One atom of each set of equivalent atoms:
Au 0.125 0.125 0.125 x8
I 0.000 0.000 0.500 x16

***

An optimized crystal structure of CdRe2As, computed with PBE-GGA.

Properties
VASP energy: -109.6 eV/cell

Lattice parameters (Å, degrees): 6.421 6.421 6.421 90.00 90.00 90.00
Space group F-43m (No. 216)
One atom of each set of equivalent atoms:
Cd 0.000 0.000 0.000 x4
Re 0.000 0.000 0.500 x4
Re 0.250 0.250 0.250 x4
As 0.250 0.250 0.750 x4

***

An optimized crystal structure of LiCo2Pd, computed with PBE-GGA.

Properties
VASP energy: -81.1 eV/cell

Lattice parameters (Å, degrees): 5.771 5.771 5.771 90.00 90.00 90.00
Space group F-43m (No. 216)
One atom of each set of equivalent atoms:
Li 0.000 0.000 0.000 x4
Co 0.000 0.000 0.500 x4
Co 0.250 0.250 0.750 x4
Pd 0.250 0.250 0.250 x4

***

An optimized crystal structure of Sr2Fe3Re2, computed with PBE-GGA.

Properties
VASP energy: -139.8 eV/cell

Lattice parameters (Å, degrees): 4.5812 4.5812 24.1354 90.00 90.00 120.00
Space group R3m (No. 160, hexagonal axes)
One atom of each set of equivalent atoms:
Sr 0.0000 0.0000 0.0000 x3
Sr 0.0000 0.0000 0.4612 x3
Fe 0.0000 0.0000 0.1243 x3
Fe 0.0000 0.0000 0.5779 x3
Fe 0.0000 0.0000 0.8811 x3
Re 0.0000 0.0000 0.2150 x3
Re 0.0000 0.0000 0.7908 x3

***

An optimized crystal structure of ThUIr, computed with PBE-GGA.

Properties
VASP energy: -111.3 eV/cell
Formation energy from the elements: -0.083 eV/atom

Lattice parameters (Å, degrees): 6.875 6.875 6.875 90.00 90.00 90.00
Space group F-43m (No. 216)
One atom of each set of equivalent atoms:
Th 0.000 0.000 0.000 x4
U 0.000 0.000 0.500 x4
Ir 0.250 0.250 0.750 x4

***

An optimized crystal structure of Ag2H12SN4O4, computed with PBE-GGA.

Properties
VASP energy: -234.4 eV/cell

Lattice parameters (Å, degrees): 8.278 8.278 6.226 90.00 90.00 90.00
Space group P-42_1c (No. 114)
One atom of each set of equivalent atoms:
Ag 0.000 0.500 0.008 x4
H 0.058 0.791 0.361 x8
H 0.096 0.800 0.626 x8
H 0.214 0.730 0.960 x8
S 0.000 0.000 0.000 x2
N 0.109 0.731 0.490 x8
O 0.066 0.132 0.137 x8

***

An optimized crystal structure of KDyHgTe3, computed with PBE-GGA.

Properties
VASP energy: -42.2 eV/cell

Lattice parameters (Å, degrees): 9.302 4.504 10.975 90.00 107.78 90.00
Space group P2_1/m (No. 11)
One atom of each set of equivalent atoms:
K 0.227 0.250 0.262 x2
Dy 0.323 0.750 0.862 x2
Hg 0.086 0.250 0.615 x2
Te 0.089 0.250 0.871 x2
Te 0.247 0.750 0.551 x2
Te 0.456 0.750 0.152 x2